## TlTe2Pt (PBE-GGA)

Data for a relaxed TlTe2Pt crystal.

Computed properties:
DOS(E_F): 4.303 states/eV/f.u.
ΔE to the lowest computed polymorph: 0.605 eV/atom
energy: -3.360 eV per atom

Cell: 4.140 4.140 12.287 Å, 90.00 90.00 90.00°
Space group I-4m2 (No. 119)
Asymmetric unit:
1 Tl 0.000 0.000 0.000
2 Te 0.000 0.000 0.500
3 Te 0.000 0.500 0.250
4 Pt 0.000 0.500 0.750

## TlTe2Pt (PBE-GGA)

Data for a relaxed TlTe2Pt crystal.

Computed properties:
DOS(E_F): 2.937 states/eV/f.u.
ΔE to the lowest computed polymorph: 0.648 eV/atom
energy: -3.318 eV per atom

Cell: 7.340 7.340 7.340 Å, 90.00 90.00 90.00°
Space group F-43m (No. 216)
Asymmetric unit:
1 Tl 0.000 0.000 0.000
2 Te 0.000 0.000 0.500
3 Te 0.250 0.250 0.750
4 Pt 0.250 0.250 0.250

## TlTePt2 (PBE-GGA)

Data for a relaxed TlTePt2 crystal.

Computed properties:
DOS(E_F): 2.329 states/eV/f.u.
ΔE to the lowest computed polymorph: 0.002 eV/atom
energy: -4.494 eV per atom

Cell: 5.052 4.006 5.065 Å, 90.00 115.08 90.00°
Space group Pm (No. 6)
Asymmetric unit:
1 Tl 0.000 0.000 0.000
2 Te 0.661 0.500 0.340
3 Pt 0.244 0.500 0.758
4 Pt 0.456 0.000 0.543